Tm2SbRu | PBE-GGA | relaxed

Unit cell a=4.4961 b=4.4961 c=5.7222 alpha=90.00 beta=90.00 gamma=120.00
Element x y z (fractional)
Tm1 0.3333 0.6667 0.2111
Ru1 0.0000 0.0000 0.0000
Tm2 0.6667 0.3333 0.7889
Sb1 0.0000 0.0000 0.5000

As for the energy relative to the elements, uncorrected: -0.56 eV per atom. As for the space group: P-3m1 (164). For the energy above the most stable polymorph in this dataset, the calculation gives 6.52 kJ/mol of atoms. For the spin magnetization, the calculation gives 0.00 μB/cell.